SmDy3Ru | PBE-GGA | optimized geometry

abc: 5.3985 5.3985 5.3985
angles: 90.00 90.00 90.00
Closest atoms and distances in Å follow each position.
Fractional positions:
Sm1 0.0000 0.0000 0.0000  12 Dy 3.82
Dy1 0.0000 0.5000 0.5000  2 Ru 2.70
Dy2 0.5000 0.0000 0.5000  2 Ru 2.70
Dy3 0.5000 0.5000 0.0000  2 Ru 2.70
Ru1 0.5000 0.5000 0.5000  6 Dy 2.70

Summary:
Size of the total moment (μB/f.u.): 0.66
Symmetry: No. 221



SmDy2Ru2 | PBE-GGA | optimized geometry

abc: 5.3572 4.3533 11.0123
angles: 90.00 97.33 90.00
Closest atoms and distances in Å follow each position.
Fractional positions:
Sm1 0.0571 0.2500 0.2653  3 Ru 2.90-2.95
Sm2 0.9429 0.7500 0.7347  3 Ru 2.90-2.95
Dy1 0.2512 0.2500 0.9746  4 Ru 2.83-2.99
Dy2 0.4317 0.2500 0.6236  5 Ru 2.87-3.10
Dy3 0.5683 0.7500 0.3764  5 Ru 2.87-3.10
Dy4 0.7488 0.7500 0.0254  4 Ru 2.83-2.99
Ru1 0.0934 0.7500 0.4862  2 Ru 2.43
Ru2 0.2720 0.7500 0.1396  5 Dy 2.83-2.99, 2 Sm 2.90
Ru3 0.7280 0.2500 0.8604  5 Dy 2.83-2.99, 2 Sm 2.90
Ru4 0.9066 0.2500 0.5138  2 Ru 2.43

Summary:
Size of the total moment (μB/f.u.): 0.00
Symmetry: No. 11



no.,total DFT energy (no corrections) (eV/cell),relative energy among the computed polymorphs (kJ/mol of atoms),theoretical density (g cm⁻³)
1,-28.1,6.1,7.799
2,-66.7,7.3,8.833